[1]
A plane-wave DFT calculation with PBE was carried out for a geometry-optimized YSBr structure.

The structure in CIF format:
```
data_YSBr
_chemical_formula_sum 'Y1 S1 Br1'
_symmetry_space_group_name_H-M 'P 1'
_symmetry_Int_Tables_number 1
_symmetry_space_group_name_Hall 'P 1'
_cell_length_a 4.0820
_cell_length_b 4.0820
_cell_length_c 6.7343
_cell_angle_alpha 90.00
_cell_angle_beta 90.00
_cell_angle_gamma 120.00
loop_
_atom_site_label
_atom_site_fract_x
_atom_site_fract_y
_atom_site_fract_z
Y1 0.0000 0.0000 0.0000
S1 0.3333 0.6667 0.8208
Br1 0.6667 0.3333 0.2714
```

## Properties
The energy is -6.03 eV/atom. Its density of states at the Fermi level is 0.0 states/eV/f.u. As for the raw formation energy: -44.88 kcal/mol of atoms.


[2]
A plane-wave DFT calculation with PBE was carried out for a geometry-optimized Ce2PrZn2In2 structure.

The structure in CIF format:
```
data_Ce2PrZn2In2
_chemical_formula_sum 'Ce2 Pr1 Zn2 In2'
_symmetry_space_group_name_H-M 'P 1'
_symmetry_Int_Tables_number 1
_symmetry_space_group_name_Hall 'P 1'
_cell_length_a 9.8570
_cell_length_b 9.8570
_cell_length_c 9.8570
_cell_angle_alpha 26.85
_cell_angle_beta 26.85
_cell_angle_gamma 26.85
loop_
_atom_site_label
_atom_site_fract_x
_atom_site_fract_y
_atom_site_fract_z
Ce1 0.1438 0.1438 0.1438
Ce2 0.8562 0.8562 0.8562
Pr1 0.0000 0.0000 0.0000
Zn1 0.4137 0.4137 0.4137
Zn2 0.5863 0.5863 0.5863
In1 0.2633 0.2633 0.2633
In2 0.7367 0.7367 0.7367
```

## Properties
The energy is -3.81 eV/atom. Its density of states at the Fermi level is 10.7 states/eV/f.u. As for the energy of formation: -288 meV/atom.